4
Lattice="1.967 1.135 8.419 -1.967 1.135 8.419 0.000 -2.271 8.419" Properties=species:S:1:pos:R:3 comment="CaCoBr2 (PBE, optimized geometry)" e_above_lowest_polymorph_kj_per_mol_fu=136.3 energy_ev_per_fu=-13.92 pbc="T T T"
Ca 0.000 0.000 0.000
Co 0.000 0.000 12.629
Br 0.000 0.000 2.865
Br 0.000 0.000 22.392



12
Lattice="3.923 -5.615 0.000 3.923 5.615 0.000 0.000 0.000 8.951" Properties=species:S:1:pos:R:3 comment="CaCoBr4 (PBE, optimized geometry)" e_above_lowest_polymorph_kj_per_mol_fu=0.0 energy_ev_per_fu=-22.45 pbc="T T T"
Ca 0.000 0.000 0.000
Ca 0.000 0.000 4.475
Co 3.923 1.572 6.713
Co 3.923 -1.572 2.238
Br 1.960 0.088 6.713
Br 3.923 2.744 4.656
Br 3.923 2.744 8.770
Br 1.960 -0.088 2.238
Br 5.886 0.088 6.713
Br 3.923 -2.744 0.180
Br 3.923 -2.744 4.295
Br 5.886 -0.088 2.238



3
Lattice="0.000 3.527 3.527 3.527 0.000 3.527 3.527 3.527 0.000" Properties=species:S:1:pos:R:3 comment="CaCoBr (PBE, optimized geometry)" energy_ev_per_fu=-10.53 pbc="T T T"
Ca 0.000 0.000 0.000
Co 1.763 1.763 1.763
Br 5.290 5.290 5.290



6
Lattice="-3.198 3.875 2.966 3.198 -3.875 2.966 3.198 3.875 -2.966" Properties=species:S:1:pos:R:3 comment="CaCoBr (PBE, optimized geometry)" energy_ev_per_fu=-10.79 pbc="T T T"
Ca 0.000 0.000 0.000
Ca 0.000 3.875 0.000
Co 3.198 1.938 0.641
Co 0.000 1.938 2.325
Br 1.599 1.938 -1.483
Br 1.599 -1.938 1.483



4
Lattice="3.588 0.000 0.000 0.000 3.588 0.000 0.000 0.000 8.100" Properties=species:S:1:pos:R:3 comment="CaCoBr2 (PBE, optimized geometry)" e_above_lowest_polymorph_kj_per_mol_fu=67.2 energy_ev_per_fu=-14.63 pbc="T T T"
Ca 0.000 0.000 0.000
Co 1.794 1.794 2.209
Br 0.000 0.000 2.893
Br 1.794 1.794 6.510



6
Lattice="4.030 0.000 0.000 -2.015 3.490 0.000 0.000 0.000 8.462" Properties=species:S:1:pos:R:3 comment="CaCoBr (PBE, optimized geometry)" energy_ev_per_fu=-11.19 pbc="T T T"
Ca 0.000 0.000 0.000
Ca 0.000 0.000 4.231
Co 0.000 2.327 2.116
Co 2.015 1.163 6.347
Br 0.000 2.327 6.347
Br 2.015 1.163 2.116



4
Lattice="2.184 1.261 7.487 -2.184 1.261 7.487 0.000 -2.522 7.487" Properties=species:S:1:pos:R:3 comment="CaCoBr2 (PBE, optimized geometry)" e_above_lowest_polymorph_kj_per_mol_fu=93.9 energy_ev_per_fu=-14.35 pbc="T T T"
Ca 0.000 0.000 0.000
Co 0.000 0.000 11.230
Br 0.000 0.000 8.973
Br 0.000 0.000 13.487



6
Lattice="3.919 0.000 0.000 -1.959 3.395 0.000 -1.861 -1.145 11.785" Properties=species:S:1:pos:R:3 comment="CaCoBr (PBE, optimized geometry)" energy_ev_per_fu=-13.33 pbc="T T T"
Ca 0.000 0.000 0.000
Ca 0.000 0.000 4.404
Co 0.000 2.264 2.202
Co 1.960 1.132 2.202
Br -1.861 1.118 10.032
Br 0.000 2.263 6.156



4
Lattice="-1.813 1.939 7.593 1.813 -1.939 7.593 1.813 1.939 -7.593" Properties=species:S:1:pos:R:3 comment="CaCoBr2 (PBE, optimized geometry)" e_above_lowest_polymorph_kj_per_mol_fu=50.9 energy_ev_per_fu=-14.80 pbc="T T T"
Ca 0.000 0.000 0.000
Co 1.813 0.000 2.300
Br 0.000 0.000 6.191
Br 0.000 1.939 2.343



6
Lattice="3.922 0.000 0.000 1.961 3.397 0.000 0.156 2.149 11.752" Properties=species:S:1:pos:R:3 comment="CaCoBr (PBE, optimized geometry)" energy_ev_per_fu=-13.33 pbc="T T T"
Ca 0.980 1.698 2.198
Ca 5.059 3.848 9.555
Co 2.941 2.831 0.005
Co 3.097 2.715 11.747
Br 1.137 1.583 7.805
Br 4.901 3.963 3.947



4
Lattice="4.049 0.000 0.000 0.000 3.842 0.000 -1.996 0.000 7.033" Properties=species:S:1:pos:R:3 comment="CaCoBr2 (PBE, optimized geometry)" e_above_lowest_polymorph_kj_per_mol_fu=0.0 energy_ev_per_fu=-15.33 pbc="T T T"
Ca 0.000 0.000 0.000
Co 0.028 1.921 6.114
Br 0.027 0.000 4.692
Br 2.026 1.921 1.433



4
Lattice="3.495 0.000 0.000 0.000 3.478 0.000 -0.017 0.000 7.699" Properties=species:S:1:pos:R:3 comment="Ca2CoBr (PBE, optimized geometry)" e_above_lowest_polymorph_kj_per_mol_fu=0.0 energy_ev_per_fu=-14.64 pbc="T T T"
Ca -0.003 0.000 1.639
Ca 3.480 0.000 6.060
Co 1.747 1.739 0.000
Br 1.739 1.739 3.849